No. 1
Entry from Alexandria via LeMat-Bulk: an optimized crystal structure of InCu2Ir (PBE).

a = 2.853 Å, b = 3.785 Å, c = 5.582 Å
α = 90.00°, β = 90.00°, γ = 90.00°
Element x y z (fractional)
Cu1 0.000 0.000 0.975
Cu2 0.000 0.000 0.525
In1 0.500 0.500 0.250
Ir1 0.500 0.500 0.750

Results
magnetic moment = 0.00 μB/f.u.
DOS(E_F) = 3.393 states/eV/cell
total energy = -4.81 eV/atom
formation energy = 0.138 eV/atom
volume = 15.07 Å³/atom

---

No. 2
Entry from Alexandria via LeMat-Bulk: an optimized crystal structure of InCu2Ir (PBE).

a = 2.808 Å, b = 2.808 Å, c = 8.511 Å
α = 90.00°, β = 90.00°, γ = 113.08°
Element x y z (fractional)
Cu1 0.000 0.000 0.007
Cu2 0.500 0.500 0.231
In1 0.000 0.000 0.497
Ir1 0.500 0.500 0.766

Results
magnetic moment = 0.00 μB/f.u.
DOS(E_F) = 3.016 states/eV/cell
total energy = -4.63 eV/atom
formation energy = 0.315 eV/atom
volume = 15.44 Å³/atom

---

No. 3
Entry from Alexandria via LeMat-Bulk: an optimized crystal structure of InCu2Ir (PBE).

a = 3.004 Å, b = 4.574 Å, c = 5.486 Å
α = 52.97°, β = 90.00°, γ = 90.00°
Element x y z (fractional)
Cu1 0.000 0.000 0.000
Cu2 0.500 0.500 0.000
In1 0.500 0.500 0.500
Ir1 0.000 0.000 0.500

Results
magnetic moment = 0.00 μB/f.u.
DOS(E_F) = 2.229 states/eV/cell
total energy = -4.89 eV/atom
formation energy = 0.057 eV/atom
volume = 15.04 Å³/atom

---

No. 4
Entry from Alexandria via LeMat-Bulk: an optimized crystal structure of LuInCuIr (PBE).

a = 4.674 Å, b = 4.674 Å, c = 4.674 Å
α = 60.00°, β = 60.00°, γ = 60.00°
Element x y z (fractional)
Ir1 0.250 0.250 0.250
Lu1 0.500 0.500 0.500
Cu1 0.750 0.750 0.750
In1 0.000 0.000 0.000

Results
magnetic moment = 0.00 μB/f.u.
DOS(E_F) = 2.881 states/eV/cell
total energy = -5.49 eV/atom
formation energy = -0.431 eV/atom
volume = 18.05 Å³/atom

---

No. 5
Entry from Alexandria via LeMat-Bulk: an optimized crystal structure of Mg5In2CuIr2 (PBE).

a = 4.136 Å, b = 9.594 Å, c = 9.594 Å
α = 90.00°, β = 90.00°, γ = 90.00°
Element x y z (fractional)
Mg1 0.500 0.202 0.076
Mg2 0.500 0.798 0.924
Mg3 0.500 0.076 0.798
Mg4 0.500 0.702 0.424
Mg5 0.500 0.924 0.202
Mg6 0.500 0.298 0.576
Mg7 0.500 0.576 0.702
Mg8 0.500 0.424 0.298
Mg9 0.500 0.500 0.000
Mg10 0.500 0.000 0.500
In1 0.000 0.672 0.172
In2 0.000 0.328 0.828
In3 0.000 0.172 0.328
In4 0.000 0.828 0.672
Cu1 0.000 0.000 0.000
Cu2 0.000 0.500 0.500
Ir1 0.000 0.122 0.622
Ir2 0.000 0.878 0.378
Ir3 0.000 0.622 0.878
Ir4 0.000 0.378 0.122

Results
magnetic moment = 0.00 μB/f.u.
DOS(E_F) = 5.252 states/eV/cell
total energy = -3.70 eV/atom
formation energy = -0.173 eV/atom
volume = 19.04 Å³/atom

---

No. 6
Entry from Alexandria via LeMat-Bulk: an optimized crystal structure of Mg3In3CuIr2 (PBE).

a = 3.189 Å, b = 7.709 Å, c = 7.709 Å
α = 120.00°, β = 90.00°, γ = 90.00°
Element x y z (fractional)
Mg1 0.000 0.611 0.611
Mg2 0.000 0.000 0.389
Mg3 0.000 0.389 0.000
In1 0.500 0.715 0.000
In2 0.500 0.000 0.715
In3 0.500 0.285 0.285
Cu1 0.000 0.000 0.000
Ir1 0.500 0.667 0.333
Ir2 0.500 0.333 0.667

Results
magnetic moment = 0.00 μB/f.u.
DOS(E_F) = 3.700 states/eV/cell
total energy = -4.08 eV/atom
formation energy = -0.209 eV/atom
volume = 18.24 Å³/atom

---

No. 7
Entry from Alexandria via LeMat-Bulk: an optimized crystal structure of MnInCuIr (PBE).

a = 4.445 Å, b = 4.445 Å, c = 4.445 Å
α = 60.00°, β = 60.00°, γ = 60.00°
Site moments in Bohr magnetons follow the coordinates.
Element x y z (fractional)
Mn1 0.500 0.500 0.500  3.64
Ir1 0.750 0.750 0.750  0.17
Cu1 0.250 0.250 0.250  0.06
In1 0.000 0.000 0.000  -0.02

Results
magnetic moment = 3.97 μB/f.u.
DOS(E_F) = 2.488 states/eV/cell
total energy = -6.22 eV/atom
formation energy = -0.002 eV/atom
volume = 15.53 Å³/atom

---

No. 8
Entry from Alexandria via LeMat-Bulk: an optimized crystal structure of NdInCuIr (PBE).

a = 4.833 Å, b = 4.833 Å, c = 4.833 Å
α = 60.00°, β = 60.00°, γ = 60.00°
Element x y z (fractional)
Ir1 0.250 0.250 0.250
Nd1 0.500 0.500 0.500
Cu1 0.750 0.750 0.750
In1 0.000 0.000 0.000

Results
magnetic moment = 0.00 μB/f.u.
DOS(E_F) = 3.323 states/eV/cell
total energy = -5.38 eV/atom
formation energy = -0.264 eV/atom
volume = 19.96 Å³/atom

---

No. 9
Entry from Alexandria via LeMat-Bulk: an optimized crystal structure of InCuNiIr (PBE).

a = 4.351 Å, b = 4.351 Å, c = 4.351 Å
α = 60.00°, β = 60.00°, γ = 60.00°
Element x y z (fractional)
Ni1 0.250 0.250 0.250
Ir1 0.750 0.750 0.750
Cu1 0.500 0.500 0.500
In1 0.000 0.000 0.000

Results
magnetic moment = 0.00 μB/f.u.
DOS(E_F) = 1.674 states/eV/cell
total energy = -5.34 eV/atom
formation energy = 0.027 eV/atom
volume = 14.56 Å³/atom

---

No. 10
Entry from Alexandria via LeMat-Bulk: an optimized crystal structure of NpInCuIr (PBE).

a = 4.745 Å, b = 4.745 Å, c = 4.745 Å
α = 60.00°, β = 60.00°, γ = 60.00°
Site moments in Bohr magnetons follow the coordinates.
Element x y z (fractional)
Np1 0.000 0.000 0.000  3.48
Ir1 0.750 0.750 0.750  -0.20
Cu1 0.250 0.250 0.250  0.00
In1 0.500 0.500 0.500  0.01

Results
magnetic moment = 3.49 μB/f.u.
DOS(E_F) = 9.672 states/eV/cell
total energy = -7.18 eV/atom
formation energy = -0.018 eV/atom
volume = 18.89 Å³/atom

---

No. 11
Entry from Alexandria via LeMat-Bulk: an optimized crystal structure of InCuIrO6 (PBE).

a = 5.317 Å, b = 5.317 Å, c = 8.521 Å
α = 90.00°, β = 90.00°, γ = 120.00°
Site moments in Bohr magnetons follow the coordinates.
Element x y z (fractional)
In1 0.333 0.667 0.250  0.00
In2 0.667 0.333 0.750  0.00
Cu1 0.000 0.000 0.000  0.26
Cu2 0.000 0.000 0.500  0.26
Ir1 0.667 0.333 0.250  -0.04
Ir2 0.333 0.667 0.750  -0.04
O1 0.668 0.635 0.122  0.02
O2 0.967 0.332 0.122  0.02
O3 0.332 0.967 0.622  0.02
O4 0.033 0.668 0.878  0.02
O5 0.365 0.332 0.378  0.02
O6 0.967 0.635 0.378  0.02
O7 0.635 0.967 0.878  0.02
O8 0.668 0.033 0.378  0.02
O9 0.033 0.365 0.622  0.02
O10 0.365 0.033 0.122  0.02
O11 0.635 0.668 0.622  0.02
O12 0.332 0.365 0.878  0.02

Results
magnetic moment = 0.36 μB/f.u.
DOS(E_F) = 12.523 states/eV/cell
total energy = -5.69 eV/atom
volume = 11.59 Å³/atom

---

No. 12
Entry from Alexandria via LeMat-Bulk: an optimized crystal structure of InCu2IrO8 (PBE).

a = 5.671 Å, b = 5.671 Å, c = 5.671 Å
α = 109.98°, β = 109.98°, γ = 108.46°
Site moments in Bohr magnetons follow the coordinates.
Element x y z (fractional)
In1 0.250 0.750 0.500  0.01
Cu1 0.750 0.250 0.500  -0.04
Cu2 0.500 0.500 0.000  0.33
Ir1 0.000 0.000 0.000  0.06
O1 0.347 0.045 0.301  0.04
O2 0.270 0.436 0.166  0.14
O3 0.270 0.104 0.834  0.14
O4 0.744 0.045 0.699  0.04
O5 0.896 0.730 0.166  0.14
O6 0.955 0.256 0.301  0.04
O7 0.955 0.653 0.699  0.04
O8 0.564 0.730 0.834  0.14

Results
magnetic moment = 1.19 μB/f.u.
DOS(E_F) = 8.336 states/eV/cell
total energy = -5.30 eV/atom
volume = 11.70 Å³/atom

---

Q: The highest total energy belongs to which entry?
A: Mg5In2CuIr2